# 1
This record from Alexandria via LeMat-Bulk describes a relaxed FeSi2Tc crystal. The functional is PBE.

a b c (Å): 3.1099 3.1099 5.2193
angles (deg): 90.00 90.00 90.00
Last column: nearest neighbours and their distance in Å.
Space group P4mm (No. 99)
One atom of each set of equivalent atoms:
Fe 0.0000 0.0000 0.0000 [1 per cell]  5 Si 2.41
Si 0.0000 0.0000 0.4625 [1 per cell]  1 Fe 2.41, 4 Tc 2.46, 4 Si 2.63
Si 0.5000 0.5000 0.1876 [1 per cell]  4 Fe 2.41, 2 Tc 2.54-2.67, 4 Si 2.63
Tc 0.5000 0.5000 0.6752 [1 per cell]  6 Si 2.46-2.67

Computed properties:
Mass density = 6909 kg/m3
Formation energy from raw total energies = -0.3769 eV per atom
DOS(E_F) = 2.204 states/eV/f.u.
Crystal system = tetragonal

=====

# 2
This record from Alexandria via LeMat-Bulk describes a relaxed Fe2SiTc crystal. The functional is PBE.

a b c (Å): 2.6524 3.6460 4.9519
angles (deg): 90.00 90.00 90.00
Last column: nearest neighbours and their distance in Å.
Space group Pmmm (No. 47)
One atom of each set of equivalent atoms:
Fe 0.0000 0.0000 0.2388 [2 per cell]  2 Fe 2.36-2.59, 4 Si 2.55, 4 Tc 2.60
Si 0.5000 0.5000 0.0000 [1 per cell]  2 Tc 2.48, 8 Fe 2.55, 2 Si 2.65
Tc 0.5000 0.5000 0.5000 [1 per cell]  2 Si 2.48, 8 Fe 2.60, 2 Tc 2.65

Computed properties:
Mass density = 8245 kg/m3
Formation energy from raw total energies = -0.1140 eV per atom
DOS(E_F) = 4.431 states/eV/f.u.
Crystal system = orthorhombic

=====

# 3
This record from Alexandria via LeMat-Bulk describes a relaxed FeSi2Tc crystal. The functional is PBE.

a b c (Å): 2.5533 4.6793 9.7389
angles (deg): 90.00 90.00 90.00
Last column: nearest neighbours and their distance in Å.
Space group Immm (No. 71)
One atom of each set of equivalent atoms:
Fe 0.0000 0.0000 0.0000 [2 per cell]  2 Si 2.36, 2 Fe 2.55
Si 0.0000 0.0000 0.2426 [4 per cell]  1 Fe 2.36, 1 Tc 2.51, 2 Si 2.55
Tc 0.0000 0.0000 0.5000 [2 per cell]  2 Si 2.51, 2 Tc 2.55, 4 Fe 2.67

Computed properties:
Mass density = 5994 kg/m3
Formation energy from raw total energies = 0.5990 eV per atom
DOS(E_F) = 4.239 states/eV/f.u.
Crystal system = orthorhombic